{
  "formula": "LaTl2Zn",
  "functional": "GGA-PBE",
  "state": "optimized geometry",
  "cell": [[3.657, 0.000, 0.000], [0.000, 4.751, 0.000], [-1.741, 0.000, 6.352]],
  "species": ["La", "Tl", "Tl", "Zn"],
  "frac_coords": [[0.000, 0.000, 0.000], [0.278, 0.000, 0.534], [0.657, 0.500, 0.301], [0.398, 0.500, 0.796]],
  "dos_ef_per_ev_cell": 2.45,
  "delta_e_f_ev_per_atom": -0.15,
  "total_energy_ev_per_atom": -2.89
}